DFT (meta-GGA SCAN) results for MgCo2Br2 at its PBEsol-relaxed geometry.

The space group is I4/mmm (No. 139) and the conventional cell measures 3.261, 3.261 and 20.252 Å, with angles of 90.00, 90.00 and 90.00 degrees. The inequivalent atoms are Mg at (0.000, 0.000, 0.000), Co at (0.000, 0.500, 0.250) and Br at (0.000, 0.000, 0.419).

For the density of states at the Fermi level, the calculation gives 0.532 states/eV per atom. The total magnetization is 4.09 μB per formula unit. Its crystal system is tetragonal. The formation energy without anion corrections is -0.02 eV/atom.